Below is a relaxed La2CdRu crystal, with properties calculated at the GGA-PBE level.

Cell and atoms, written as extended XYZ:
```
4
Lattice="3.549 0.039 0.000 -0.038 3.549 0.000 0.000 0.000 8.435" Properties=species:S:1:pos:R:3 pbc="T T T"
Ru 1.755 1.794 2.109
La 0.000 0.000 3.877
La 0.000 0.000 0.340
Cd 1.755 1.794 6.326
```

Values from the calculation:
Total DFT energy (no corrections) = -21.05 eV for the cell shown
Space group = P4/mmm, No. 123